# Hf4SbRu2, optimized geometry, DFT PBE-GGA
# Electronic total energy   -8.22 eV per atom
# Theoretical density   9.811 g/cm³
# Formation energy from raw total energies   5.0 eV per formula unit
# Total moment   0.0 μB/cell
data_Hf4SbRu2
_chemical_formula_sum 'Hf8 Sb2 Ru4'
_symmetry_space_group_name_H-M 'I 4/m m m'
_symmetry_Int_Tables_number 139
_symmetry_space_group_name_Hall '-I 4 2'
_cell_length_a 5.1814
_cell_length_b 5.1814
_cell_length_c 13.0862
_cell_angle_alpha 90.00
_cell_angle_beta 90.00
_cell_angle_gamma 90.00
loop_
_atom_site_label
_atom_site_fract_x
_atom_site_fract_y
_atom_site_fract_z
_atom_site_occupancy
Hf1 0.0000 0.0000 0.2164 1
Hf2 0.0000 0.5000 0.0000 1
Sb1 0.0000 0.0000 0.0000 1
Ru1 0.0000 0.0000 0.3995 1

---

# NdPd5Au2, optimized geometry, DFT PBE-GGA
# Electronic total energy   -4.91 eV per atom
# Theoretical density   11.534 g/cm³
# Total moment   0.0 μB/cell
data_NdPd5Au2
_chemical_formula_sum 'Nd2 Pd10 Au4'
_symmetry_space_group_name_H-M 'I m m m'
_symmetry_Int_Tables_number 71
_symmetry_space_group_name_Hall '-I 2 2'
_cell_length_a 3.9327
_cell_length_b 7.8187
_cell_length_c 10.0226
_cell_angle_alpha 90.00
_cell_angle_beta 90.00
_cell_angle_gamma 90.00
loop_
_atom_site_label
_atom_site_fract_x
_atom_site_fract_y
_atom_site_fract_z
_atom_site_occupancy
Nd1 0.0000 0.0000 0.0000 1
Pd1 0.0000 0.1819 0.3614 1
Pd2 0.0000 0.5000 0.0000 1
Au1 0.0000 0.5000 0.2725 1

---

# Zr3In3TcPd2, optimized geometry, DFT PBE-GGA
# Electronic total energy   -6.51 eV per atom
# Theoretical density   8.599 g/cm³
# Total moment   0.0 μB/cell
data_Zr3In3TcPd2
_chemical_formula_sum 'Zr3 In3 Tc1 Pd2'
_symmetry_space_group_name_H-M 'P -6 2 m'
_symmetry_Int_Tables_number 189
_symmetry_space_group_name_Hall 'P -6 -2'
_cell_length_a 7.8470
_cell_length_b 7.8470
_cell_length_c 3.3642
_cell_angle_alpha 90.00
_cell_angle_beta 90.00
_cell_angle_gamma 120.00
loop_
_atom_site_label
_atom_site_fract_x
_atom_site_fract_y
_atom_site_fract_z
_atom_site_occupancy
Zr1 0.0000 0.7284 0.0000 1
In1 0.0000 0.3848 0.5000 1
Tc1 0.0000 0.0000 0.5000 1
Pd1 0.3333 0.6667 0.0000 1